[1]
Crystalline LaBSbI2 at its relaxed geometry. Source: Alexandria, functional PBE.

Cell lengths 5.1447, 5.1447, 5.1934 Å; angles 90.00, 90.00, 90.00 degrees
With the nearest neighbours (Å) after each atom.
Fractional coordinates of all 5 atoms:
1 I 0.5000 0.0000 0.0000  2 B 2.57
2 I 0.0000 0.5000 0.0000  2 B 2.57
3 Sb 0.0000 0.0000 0.5000  2 B 2.60
4 B 0.0000 0.0000 0.0000  4 I 2.57, 2 Sb 2.60
5 La 0.5000 0.5000 0.5000  4 Sb 3.64, 8 I 3.66

Output
Distance to the lowest polymorph of the same formula in eV per atom: 0.000
Energy relative to the elements, uncorrected in meV/atom: 102

=====

[2]
Crystalline LaBSb2I at its relaxed geometry. Source: Alexandria, functional PBE.

Cell lengths 4.8438, 4.8438, 5.6972 Å; angles 90.00, 90.00, 90.00 degrees
With the nearest neighbours (Å) after each atom.
Fractional coordinates of all 5 atoms:
1 Sb 0.0000 0.5000 0.0000  2 B 2.42
2 Sb 0.5000 0.0000 0.0000  2 B 2.42
3 La 0.5000 0.5000 0.5000  4 I 3.43, 8 Sb 3.74
4 B 0.0000 0.0000 0.0000  4 Sb 2.42
5 I 0.0000 0.0000 0.5000  2 B 2.85

Output
Distance to the lowest polymorph of the same formula in eV per atom: 0.000
Energy relative to the elements, uncorrected in meV/atom: 102

=====

[3]
Crystalline SrLaB2I at its relaxed geometry. Source: Alexandria, functional PBE.

Cell lengths 4.9227, 5.6472, 4.9227 Å; angles 90.00, 90.00, 90.00 degrees
With the nearest neighbours (Å) after each atom.
Fractional coordinates of all 5 atoms:
1 B 0.0000 0.0000 0.5000  2 I 2.46
2 B 0.5000 0.0000 0.0000  2 I 2.46
3 Sr 0.0000 0.5000 0.0000  2 I 2.82
4 La 0.5000 0.5000 0.5000  4 Sr 3.48, 8 B 3.75
5 I 0.0000 0.0000 0.0000  4 B 2.46

Output
Energy relative to the elements, uncorrected in meV/atom: 1602

=====

no.,DFT total energy (eV/atom)
1,-3.66
2,-4.18
3,-2.70